(1)
Computed, not measured: a geometry-optimized LaY3Mn structure at the PBE-GGA level of DFT.

Cell: 5.5705 5.5705 5.5705 Å, 90.00 90.00 90.00°
Each line ends with the local moment (μB).
Atoms (fractional coordinates):
1 La 0.0000 0.0000 0.0000  0.00
2 Mn 0.5000 0.5000 0.5000  4.32
3 Y 0.0000 0.5000 0.0000  -0.04
4 Y 0.5000 0.0000 0.0000  -0.06
5 Y 0.0000 0.0000 0.5000  -0.05

Values from the calculation:
calculated density	4.42	g cm⁻³
DOS(E_F)	8.7	states/eV/f.u.
energy above the most stable polymorph in this dataset	920.6	meV/atom
ΔH_f (0 K)	1.13	eV per atom
total DFT energy (no corrections)	-0.2047	Ha/atom


(2)
Computed, not measured: a geometry-optimized SmSi3Pt10 structure at the PBE-GGA level of DFT.

Cell: 8.7255 8.7255 8.7255 Å, 60.00 60.00 60.00°
Atoms (fractional coordinates):
1 Pt 0.0000 0.0000 0.6544
2 Pt 0.3850 0.8449 0.3850
3 Pt 0.0000 0.3456 0.6544
4 Pt 0.6150 0.1551 0.6150
5 Pt 0.6150 0.6150 0.1551
6 Pt 0.0000 0.6544 0.0000
7 Pt 0.0000 0.3456 0.0000
8 Pt 0.3456 0.0000 0.6544
9 Pt 0.8449 0.3850 0.3850
10 Pt 0.3456 0.6544 0.0000
11 Pt 0.3850 0.3850 0.8449
12 Pt 0.6544 0.0000 0.0000
13 Pt 0.1551 0.6150 0.6150
14 Pt 0.6150 0.6150 0.6150
15 Pt 0.3456 0.0000 0.0000
16 Pt 0.0000 0.6544 0.3456
17 Pt 0.6544 0.0000 0.3456
18 Pt 0.3850 0.3850 0.3850
19 Pt 0.6544 0.3456 0.0000
20 Pt 0.0000 0.0000 0.3456
21 Si 0.2633 0.2633 0.7367
22 Si 0.7367 0.7367 0.2633
23 Si 0.2633 0.7367 0.7367
24 Si 0.7367 0.2633 0.7367
25 Si 0.7367 0.2633 0.2633
26 Si 0.2633 0.7367 0.2633
27 Sm 0.2500 0.2500 0.2500
28 Sm 0.7500 0.7500 0.7500

Values from the calculation:
calculated density	15.45	g cm⁻³
DOS(E_F)	9.2	states/eV/f.u.
raw formation energy	-0.66	eV per atom
total DFT energy (no corrections)	-0.2379	Ha/atom